[1]
MgAl2As: relaxed, PBE.

a b c (Å): 3.0142 4.1249 6.2022
angles (deg): 90.00 103.75 90.00
Space group Pm (No. 6)
Unique sites:
Mg 0.0000 0.0000 0.0000
Al 0.2410 0.0000 0.4837
Al 0.6413 0.5000 0.2885
As 0.4068 0.5000 0.8081

Computed properties:
calculated density	3.40	g/cm3
size of the total moment	0.00	μB per formula unit
DFT formation energy	-0.05	eV per atom
calculated volume	18.73	Å³/atom
polymorph energy (0 for the lowest one)	19	meV per atom

***

[2]
SmTh4S5: relaxed, PBE.

a b c (Å): 9.0265 9.0265 5.7065
angles (deg): 90.00 90.00 90.00
Space group I4/m (No. 87)
Unique sites:
Sm 0.0000 0.0000 0.0000
Th 0.0996 0.6987 0.5000
S 0.0000 0.0000 0.5000
S 0.1002 0.7032 0.0000

Computed properties:
calculated density	8.85	g/cm3
size of the total moment	0.00	μB per formula unit
calculated volume	23.25	Å³/atom
raw formation energy	-1872	meV per atom

***

[3]
MnP2Se: relaxed, PBE.

a b c (Å): 3.3496 3.4438 12.7282
angles (deg): 90.00 90.00 90.00
Space group Imm2 (No. 44)
Unique sites:
Mn 0.0000 0.0000 0.0000
P 0.0000 0.0000 0.4719
P 0.0000 0.5000 0.8549
Se 0.0000 0.5000 0.1411

Computed properties:
calculated density	4.43	g/cm3
size of the total moment	2.12	μB per formula unit
calculated volume	18.35	Å³/atom
raw formation energy	44	meV per atom